KCoAu, relaxed, DFT PBE; symmetry = P-6m2 (187); ΔH_f (0 K) = 0.70 eV/atom
1.0
5.056 0.000 0.000
-2.528 4.379 0.000
0.000 0.000 2.851
K Co Au
1 1 1
direct
0.000 0.000 0.000
0.333 0.667 0.500
0.667 0.333 0.500

=====

CePu2Mg2Sn2, relaxed, DFT PBE; symmetry = R-3m (166); ΔH_f (0 K) = -0.22 eV/atom
1.0
2.519 1.454 8.320
-2.519 1.454 8.320
0.000 -2.908 8.320
Ce Pu Mg Sn
1 2 2 2
direct
0.000 0.000 0.000
0.142 0.142 0.142
0.858 0.858 0.858
0.422 0.422 0.422
0.578 0.578 0.578
0.269 0.269 0.269
0.731 0.731 0.731

=====

Er3As5Se12, relaxed, DFT PBE; symmetry = Ia-3d (230); E_form (uncorrected) = -0.62 eV/atom
1.0
-8.126 8.126 8.126
8.126 -8.126 8.126
8.126 8.126 -8.126
Er As Se
12 20 48
direct
0.125 0.250 0.375
0.125 0.375 0.750
0.250 0.375 0.125
0.250 0.875 0.625
0.375 0.125 0.250
0.375 0.750 0.125
0.625 0.250 0.875
0.625 0.875 0.750
0.750 0.125 0.375
0.750 0.625 0.875
0.875 0.625 0.250
0.875 0.750 0.625
0.000 0.000 0.000
0.000 0.000 0.500
0.000 0.500 0.000
0.000 0.500 0.500
0.125 0.750 0.875
0.125 0.875 0.250
0.250 0.125 0.875
0.250 0.625 0.375
0.375 0.250 0.625
0.375 0.625 0.750
0.500 0.000 0.000
0.500 0.000 0.500
0.500 0.500 0.000
0.500 0.500 0.500
0.625 0.375 0.250
0.625 0.750 0.375
0.750 0.375 0.625
0.750 0.875 0.125
0.875 0.125 0.750
0.875 0.250 0.125
0.046 0.217 0.134
0.046 0.329 0.912
0.083 0.717 0.671
0.083 0.866 0.412
0.088 0.634 0.417
0.088 0.954 0.671
0.134 0.046 0.217
0.134 0.588 0.917
0.171 0.217 0.583
0.171 0.454 0.588
0.217 0.134 0.046
0.217 0.583 0.171
0.283 0.329 0.917
0.283 0.454 0.366
0.329 0.912 0.046
0.329 0.917 0.283
0.366 0.283 0.454
0.366 0.583 0.912
0.412 0.083 0.866
0.412 0.829 0.546
0.417 0.088 0.634
0.417 0.829 0.783
0.454 0.366 0.283
0.454 0.588 0.171
0.546 0.412 0.829
0.546 0.634 0.717
0.583 0.171 0.217
0.583 0.912 0.366
0.588 0.171 0.454
0.588 0.917 0.134
0.634 0.417 0.088
0.634 0.717 0.546
0.671 0.083 0.717
0.671 0.088 0.954
0.717 0.546 0.634
0.717 0.671 0.083
0.783 0.417 0.829
0.783 0.866 0.954
0.829 0.546 0.412
0.829 0.783 0.417
0.866 0.412 0.083
0.866 0.954 0.783
0.912 0.046 0.329
0.912 0.366 0.583
0.917 0.134 0.588
0.917 0.283 0.329
0.954 0.671 0.088
0.954 0.783 0.866

=====

LaReSe4, relaxed, DFT PBE; symmetry = F-43m (216); E_form (uncorrected) = 0.58 eV/atom
1.0
0.000 4.088 4.088
4.088 0.000 4.088
4.088 4.088 0.000
La Re Se
1 1 4
direct
0.000 0.000 0.000
0.750 0.750 0.750
0.376 0.376 0.376
0.376 0.376 0.873
0.376 0.873 0.376
0.873 0.376 0.376

=====

Tb3Zn3Pd, relaxed, DFT PBE; symmetry = Imm2 (44); ΔH_f (0 K) = -0.47 eV/atom
1.0
-1.812 2.248 9.559
1.812 -2.248 9.559
1.812 2.248 -9.559
Tb Zn Pd
3 3 1
direct
0.000 0.000 0.000
0.380 0.380 0.000
0.699 0.199 0.500
0.125 0.625 0.500
0.553 0.553 0.000
0.834 0.834 0.000
0.260 0.760 0.500

=====

ZnAgIr2, relaxed, DFT PBE; symmetry = R-3m (166); ΔH_f (0 K) = 0.11 eV/atom
1.0
1.386 0.800 9.098
-1.386 0.800 9.098
0.000 -1.600 9.098
Zn Ag Ir
1 1 2
direct
0.000 0.000 0.000
0.500 0.500 0.500
0.256 0.256 0.256
0.744 0.744 0.744